First-principles (GGA-PBE) data for crystalline Na3H6Ir at its relaxed geometry, as listed in OQMD via LeMat-Bulk.

Lattice parameters (Å, degrees): 9.0915 5.1086 9.3990 90.00 90.00 90.00
Positions (direct):
H 0.6655 0.5169 0.0298
H 0.6655 0.9831 0.0298
H 0.1193 0.2500 0.0496
H 0.8934 0.5244 0.1637
H 0.8934 0.9756 0.1637
H 0.6791 0.7500 0.2476
H 0.1791 0.7500 0.2524
H 0.3934 0.5244 0.3363
H 0.3934 0.9756 0.3363
H 0.6193 0.2500 0.4504
H 0.1655 0.5169 0.4702
H 0.1655 0.9831 0.4702
H 0.8345 0.0169 0.5298
H 0.8345 0.4831 0.5298
H 0.3807 0.7500 0.5496
H 0.6066 0.0244 0.6637
H 0.6066 0.4756 0.6637
H 0.8209 0.2500 0.7476
H 0.3209 0.2500 0.7524
H 0.1066 0.0244 0.8363
H 0.1066 0.4756 0.8363
H 0.8807 0.7500 0.9504
H 0.3345 0.0169 0.9702
H 0.3345 0.4831 0.9702
Ir 0.7775 0.7500 0.0971
Ir 0.2775 0.7500 0.4029
Ir 0.7225 0.2500 0.5971
Ir 0.2225 0.2500 0.9029
Na 0.1056 0.7500 0.0356
Na 0.4521 0.7500 0.1265
Na 0.7156 0.2500 0.2493
Na 0.2156 0.2500 0.2507
Na 0.9521 0.7500 0.3735
Na 0.6056 0.7500 0.4644
Na 0.3944 0.2500 0.5356
Na 0.0479 0.2500 0.6265
Na 0.7844 0.7500 0.7493
Na 0.2844 0.7500 0.7507
Na 0.5479 0.2500 0.8735
Na 0.8944 0.2500 0.9644

Properties
Its total energy is -3.68 eV/atom. The crystal system is orthorhombic. The spin magnetization comes out at 0.00 μB per cell.



First-principles (GGA-PBE) data for crystalline NdCu2NiPd2 at its relaxed geometry, as listed in OQMD via LeMat-Bulk.

Lattice parameters (Å, degrees): 5.1912 5.1912 4.0632 90.00 90.00 116.58
Positions (direct):
Cu 0.6502 0.3498 0.0000
Cu 0.3498 0.6502 0.0000
Nd 0.0000 0.0000 0.0000
Ni 0.5000 0.5000 0.5000
Pd 0.5000 0.0000 0.5000
Pd 0.0000 0.5000 0.5000

Properties
Its total energy is -5.11 eV/atom. The crystal system is orthorhombic. The value obtained for the energy of formation is -0.429 eV per atom. The spin magnetization comes out at 0.02 μB per cell.



First-principles (GGA-PBE) data for crystalline RbZr8 at its relaxed geometry, as listed in OQMD via LeMat-Bulk.

Lattice parameters (Å, degrees): 12.4354 12.0544 6.4492 78.02 71.49 30.49
Positions (direct):
Rb 0.0000 0.0000 0.0000
Rb 0.2500 0.2500 0.2500
Zr 0.7028 0.7135 0.0594
Zr 0.5472 0.5365 0.1906
Zr 0.8940 0.3274 0.3217
Zr 0.4569 0.3217 0.3274
Zr 0.9283 0.7931 0.3560
Zr 0.3274 0.8940 0.4569
Zr 0.7135 0.7028 0.5243
Zr 0.7257 0.1906 0.5365
Zr 0.1906 0.7257 0.5472
Zr 0.0594 0.5243 0.7028
Zr 0.5243 0.0594 0.7135
Zr 0.5365 0.5472 0.7257
Zr 0.9226 0.3560 0.7931
Zr 0.3217 0.4569 0.8940
Zr 0.7931 0.9283 0.9226
Zr 0.3560 0.9226 0.9283

Properties
Its total energy is -7.10 eV/atom. The crystal system is orthorhombic. The spin magnetization comes out at 0.01 μB per cell.



First-principles (GGA-PBE) data for crystalline NbGaCoHg at its relaxed geometry, as listed in OQMD via LeMat-Bulk.

Lattice parameters (Å, degrees): 4.5165 4.5165 4.5165 60.00 60.00 60.00
Site moments in Bohr magnetons follow the coordinates.
Positions (direct):
Co 0.7500 0.7500 0.7500  0.07
Ga 0.0000 0.0000 0.0000  0.00
Hg 0.2500 0.2500 0.2500  0.00
Nb 0.5000 0.5000 0.5000  -0.03

Properties
Its total energy is -4.81 eV/atom. The crystal system is cubic. The spin magnetization comes out at 0.03 μB per cell.



First-principles (GGA-PBE) data for crystalline PmSmNO at its relaxed geometry, as listed in OQMD via LeMat-Bulk.

Lattice parameters (Å, degrees): 6.8235 8.2818 5.1088 90.00 90.00 90.00
Positions (direct):
N 0.9276 0.3752 0.0507
N 0.4276 0.6248 0.0507
N 0.5724 0.3752 0.5507
N 0.0724 0.6248 0.5507
O 0.4088 0.1313 0.0508
O 0.9088 0.8687 0.0508
O 0.0912 0.1313 0.5508
O 0.5912 0.8687 0.5508
Pm 0.0716 0.1229 0.0508
Pm 0.5716 0.8771 0.0508
Pm 0.4284 0.1229 0.5508
Pm 0.9284 0.8771 0.5508
Sm 0.5823 0.3739 0.0501
Sm 0.0823 0.6261 0.0501
Sm 0.9177 0.3739 0.5501
Sm 0.4177 0.6261 0.5501

Properties
Its total energy is -7.76 eV/atom. The crystal system is orthorhombic. The spin magnetization comes out at 0.02 μB per cell.



First-principles (GGA-PBE) data for crystalline LiHfPd2 at its relaxed geometry, as listed in OQMD via LeMat-Bulk.

Lattice parameters (Å, degrees): 4.4941 4.4941 4.4941 60.00 60.00 60.00
Positions (direct):
Hf 0.2500 0.2500 0.2500
Li 0.5000 0.5000 0.5000
Pd 0.0000 0.0000 0.0000
Pd 0.7500 0.7500 0.7500

Properties
Its total energy is -5.94 eV/atom. The crystal system is cubic. The spin magnetization comes out at 0.01 μB per cell.



First-principles (GGA-PBE) data for crystalline IrOF at its relaxed geometry, as listed in OQMD via LeMat-Bulk.

Lattice parameters (Å, degrees): 3.6373 3.6373 6.0895 72.62 107.38 120.00
Positions (direct):
F 0.3674 0.6326 0.1022
F 0.6326 0.3674 0.8978
Ir 0.7575 0.2425 0.2726
Ir 0.2425 0.7576 0.7274
O 0.1236 0.8764 0.3707
O 0.8764 0.1236 0.6293

Properties
Its total energy is -5.52 eV/atom. The crystal system is trigonal. The spin magnetization comes out at 0.01 μB per cell.



First-principles (GGA-PBE) data for crystalline Li4In2AgPd at its relaxed geometry, as listed in OQMD via LeMat-Bulk.

Lattice parameters (Å, degrees): 4.5637 4.5637 6.4515 90.00 90.00 90.00
Positions (direct):
Ag 0.0000 0.0000 0.5000
In 0.5000 0.0000 0.2381
In 0.0000 0.5000 0.7619
Li 0.0000 0.0000 0.0000
Li 0.0000 0.5000 0.2456
Li 0.5000 0.5000 0.5000
Li 0.5000 0.0000 0.7544
Pd 0.5000 0.5000 0.0000

Properties
Its total energy is -3.03 eV/atom. The crystal system is tetragonal.